*i*
ZrPaS2 after structural relaxation, computed with PBE.

For the magnetic moment, the calculation gives 0.00 μB per formula unit.

It has space group R3m (No. 160, hexagonal axes), with a = 3.4959 Å, b = 3.4959 Å, c = 21.9831 Å, α = 90.00°, β = 90.00° and γ = 120.00°. The inequivalent atoms are Zr at (0.0000, 0.0000, 0.0000), Pa at (0.0000, 0.0000, 0.1684), S at (0.0000, 0.0000, 0.5910) and S at (0.0000, 0.0000, 0.7446).


*ii*
ZrPaS2 after structural relaxation, computed with PBE.

For the magnetic moment, the calculation gives 0.00 μB per formula unit.

It has space group Pnma (No. 62), with a = 8.1119 Å, b = 5.3022 Å, c = 8.7089 Å, α = 90.00°, β = 90.00° and γ = 90.00°. The inequivalent atoms are Zr at (0.0776, 0.2500, 0.1387), Pa at (0.1018, 0.2500, 0.6202), S at (0.0708, 0.7500, 0.1204) and S at (0.1063, 0.7500, 0.6227).


Quick ranking, most stable first: *i*, *ii*.


*i*
PaSb after structural relaxation, computed with PBE.

For the magnetic moment, the calculation gives 0.84 μB per formula unit.

It has space group Pm-3m (No. 221), with a = 3.7268 Å, b = 3.7268 Å, c = 3.7268 Å, α = 90.00°, β = 90.00° and γ = 90.00°. The inequivalent atoms are Pa at (0.0000, 0.0000, 0.0000) and Sb at (0.5000, 0.5000, 0.5000).


*ii*
PaSb after structural relaxation, computed with PBE.

For the magnetic moment, the calculation gives 0.00 μB per formula unit.

It has space group R-3m (No. 166, hexagonal axes), with a = 4.2207 Å, b = 4.2207 Å, c = 23.5180 Å, α = 90.00°, β = 90.00° and γ = 120.00°. The inequivalent atoms are Pa at (0.0000, 0.0000, 0.1381) and Sb at (0.0000, 0.0000, 0.2779).


*iii*
PaSb after structural relaxation, computed with PBE.

For the magnetic moment, the calculation gives 0.00 μB per formula unit.

It has space group Fm-3m (No. 225), with a = 6.1674 Å, b = 6.1674 Å, c = 6.1674 Å, α = 90.00°, β = 90.00° and γ = 90.00°. The inequivalent atoms are Pa at (0.0000, 0.0000, 0.0000) and Sb at (0.0000, 0.0000, 0.5000).


Quick ranking, most stable first: *i*, *iii*, *ii*.


*i*
PaSb2 after structural relaxation, computed with PBE.

For the magnetic moment, the calculation gives 0.22 μB per formula unit.

It has space group Cmcm (No. 63), with a = 4.1597 Å, b = 16.4497 Å, c = 4.6135 Å, α = 90.00°, β = 90.00° and γ = 90.00°. The inequivalent atoms are Pa at (0.0000, 0.1005, 0.2500), Sb at (0.0000, 0.2487, 0.7500) and Sb at (0.0000, 0.4324, 0.2500).


*ii*
PaSb2 after structural relaxation, computed with PBE.

For the magnetic moment, the calculation gives 0.00 μB per formula unit.

It has space group I4/mmm (No. 139), with a = 3.9751 Å, b = 3.9751 Å, c = 9.9390 Å, α = 90.00°, β = 90.00° and γ = 90.00°. The inequivalent atoms are Pa at (0.0000, 0.0000, 0.0000) and Sb at (0.0000, 0.0000, 0.3410).


*iii*
PaSb2 after structural relaxation, computed with PBE.

For the magnetic moment, the calculation gives 0.00 μB per formula unit.

It has space group P4/nmm (No. 129, origin choice 2), with a = 4.3419 Å, b = 4.3419 Å, c = 8.7247 Å, α = 90.00°, β = 90.00° and γ = 90.00°. The inequivalent atoms are Pa at (0.2500, 0.2500, 0.2230), Sb at (0.2500, 0.2500, 0.8597) and Sb at (0.2500, 0.7500, 0.5000).


Quick ranking, most stable first: *iii*, *i*, *ii*.